SrYPu2O8: relaxed, GGA-PBE.

Calculated values
M_tot   5.0 μB per formula unit
Theoretical density   8.37 Mg/m³
VASP energy   -9.225 eV/atom

Lattice parameters (Å, degrees): 5.438 5.438 6.559 114.49 114.49 90.00
Last column: magnetic moment on the atom in μB.
Positions (direct):
1 Sr 0.750 0.250 0.500  -0.01
2 Y 0.000 0.000 0.000  0.00
3 Pu 0.500 0.500 0.000  3.27
4 Pu 0.250 0.750 0.500  3.13
5 O 0.880 0.846 0.243  -0.16
6 O 0.363 0.397 0.243  -0.16
7 O 0.603 0.637 0.756  -0.16
8 O 0.154 0.119 0.756  -0.16
9 O 0.881 0.397 0.244  -0.16
10 O 0.363 0.846 0.244  -0.16
11 O 0.154 0.637 0.757  -0.16
12 O 0.603 0.120 0.757  -0.16